## OsNCl2 (GGA-PBE)

Data for OsNCl2 after structural relaxation.

As for the crystal system: monoclinic. Its theoretical density is 5.7 g cm⁻³. The calculation puts the energy at -46.954 eV for the cell shown.

It has space group C2/m (No. 12), with a = 12.325 Å, b = 3.711 Å, c = 3.631 Å, α = 90.00°, β = 105.95° and γ = 90.00°. The inequivalent atoms are Os at (0.000, 0.000, 0.000), N at (0.000, 0.500, 0.000) and Cl at (0.134, 0.000, 0.625).

***

## TaPNCl7 (GGA-PBE)

Data for TaPNCl7 after structural relaxation.

As for the crystal system: monoclinic. Its theoretical density is 2.7 g cm⁻³. The calculation puts the energy at -194.206 eV for the cell shown.

It has space group P2_1/c (No. 14), with a = 6.728 Å, b = 11.460 Å, c = 15.386 Å, α = 90.00°, β = 104.69° and γ = 90.00°. The inequivalent atoms are Ta at (0.020, 0.082, 0.121), P at (0.371, 0.071, 0.319), N at (0.228, 0.107, 0.227), Cl at (0.073, 0.103, 0.836), Cl at (0.076, 0.250, 0.043), Cl at (0.217, 0.007, 0.403), Cl at (0.245, 0.522, 0.540), Cl at (0.263, 0.668, 0.346), Cl at (0.427, 0.053, 0.691) and Cl at (0.460, 0.701, 0.116).

***

## TaP2NCl12 (GGA-PBE)

Data for TaP2NCl12 after structural relaxation.

As for the crystal system: monoclinic. Its theoretical density is 2.4 g cm⁻³. The calculation puts the energy at -271.358 eV for the cell shown.

It has space group C2/c (No. 15), with a = 13.836 Å, b = 8.884 Å, c = 15.680 Å, α = 90.00°, β = 103.73° and γ = 90.00°. The inequivalent atoms are Ta at (0.000, 0.000, 0.000), P at (0.111, 0.430, 0.271), N at (0.000, 0.376, 0.250), Cl at (0.039, 0.261, 0.508), Cl at (0.067, 0.020, 0.153), Cl at (0.132, 0.367, 0.824), Cl at (0.159, 0.056, 0.973), Cl at (0.164, 0.435, 0.164) and Cl at (0.195, 0.289, 0.353).